1.
VASP calculation (PBE-GGA) on Ho3MgPt12 after structural relaxation.

The value obtained for the calculated density is 17.56 g/cm³. The calculation puts the total energy at -6.4208 eV/atom. The density of states at the Fermi level comes out at 14.97 states/eV/cell. The crystal system is tetragonal. The spin magnetization comes out at 0.000 μB/f.u. For the formation energy, the calculation gives -0.93 eV per atom.

It has space group P4/mmm (No. 123), with a = 4.085 Å, b = 4.085 Å, c = 16.203 Å, α = 90.00°, β = 90.00° and γ = 90.00°. The distinct sites, in fractional coordinates, are Ho at (0.000, 0.000, 0.000), Ho at (0.000, 0.000, 0.255), Mg at (0.000, 0.000, 0.500), Pt at (0.000, 0.500, 0.128), Pt at (0.000, 0.500, 0.383), Pt at (0.500, 0.500, 0.000), Pt at (0.500, 0.500, 0.255) and Pt at (0.500, 0.500, 0.500).

2.
VASP calculation (PBE-GGA) on Tm2ZrF after structural relaxation.

The value obtained for the calculated density is 8.63 g/cm³. The calculation puts the total energy at -5.9434 eV/atom. The density of states at the Fermi level comes out at 14.85 states/eV/cell. The crystal system is trigonal. The spin magnetization comes out at 0.000 μB/f.u. For the uncorrected formation energy, the calculation gives -1.103 eV per atom.

It has space group R-3m (No. 166, hexagonal axes), with a = 3.4793 Å, b = 3.4793 Å, c = 24.6750 Å, α = 90.00°, β = 90.00° and γ = 120.00°. The distinct sites, in fractional coordinates, are Tm at (0.0000, 0.0000, 0.2314), Zr at (0.0000, 0.0000, 0.0000) and F at (0.0000, 0.0000, 0.5000).